First-principles (PBE) data for a geometry-optimized LaZn3NiPd structure, as listed in the Alexandria database.

Summary:
N(E_F): 0.458 states/eV/atom
VASP energy: -3.65 eV/atom
V: 18.16 A^3/atom
Total magnetic moment: 0.00 μB per atom
Formation energy from the elements: -0.36 eV/atom

Cell: 7.115 7.115 5.466 Å, 90.00 90.00 128.05°
Positions (direct):
La 0.230 0.770 0.750
La 0.770 0.230 0.250
Zn 0.205 0.205 0.000
Zn 0.205 0.205 0.500
Zn 0.366 0.634 0.250
Zn 0.634 0.366 0.750
Zn 0.795 0.795 0.000
Zn 0.795 0.795 0.500
Ni 0.436 0.564 0.750
Ni 0.564 0.436 0.250
Pd 0.156 0.844 0.250
Pd 0.844 0.156 0.750